Entry 1:
A geometry-optimized MgFeSn2Te structure. Source: the Alexandria database, functional PBE.

abc: 4.9846 4.9846 5.2837
angles: 90.00 90.00 90.00
Closest atoms and distances in Å follow each position.
Space group P4/mmm (No. 123)
Inequivalent atoms, fractional coordinates:
Mg  0.0000  0.0000  0.0000 x1  4 Te 3.52, 8 Sn 3.63
Fe  0.5000  0.5000  0.5000 x1  4 Sn 2.49, 2 Te 2.64
Sn  0.0000  0.5000  0.5000 x2  2 Fe 2.49
Te  0.5000  0.5000  0.0000 x1  2 Fe 2.64

Summary:
The uncorrected formation energy comes out at 215.7 meV per atom. The total energy comes out at -20.13 eV per cell.

=====

Entry 2:
A geometry-optimized MgVFe2Sn structure. Source: the Alexandria database, functional PBE.

abc: 4.2811 4.2811 4.9488
angles: 90.00 90.00 90.00
Closest atoms and distances in Å follow each position.
Space group P4/mmm (No. 123)
Inequivalent atoms, fractional coordinates:
Mg  0.0000  0.0000  0.0000 x1  4 Sn 3.03, 8 Fe 3.27
V  0.5000  0.5000  0.5000 x1  4 Fe 2.14
Fe  0.0000  0.5000  0.5000 x2  2 V 2.14
Sn  0.5000  0.5000  0.0000 x1  2 V 2.47

Summary:
The total energy comes out at -27.25 eV per cell.

=====

- What is the formula in the second record?
  MgVFe2Sn

=====

- Number 1 is which compound?
  MgFeSn2Te